Gd2DyMg3InGa2 | PBE-GGA | optimized geometry

abc: 4.5697 12.7215 7.3699
angles: 90.00 90.00 90.00
Space group Amm2 (No. 38)
One atom of each set of equivalent atoms:
1 Gd 0.0000 0.2185 0.0000 x4
2 Dy 0.0000 0.0000 0.6553 x2
3 Mg 0.5000 0.0000 0.9688 x2
4 Mg 0.5000 0.1247 0.3438 x4
5 In 0.0000 0.0000 0.2202 x2
6 Ga 0.5000 0.1659 0.7186 x4

Properties
**Calculated volume**: 23.802 Å³ per atom
**DFT total energy**: -3.51 eV per atom
**M_tot**: 0.01 μB/cell